PbAuSe: optimized geometry, PBE-GGA.

Lattice parameters (Å, degrees): 4.8318 4.8318 4.8318 60.00 60.00 60.00
With the nearest neighbours (Å) after each atom.
Positions (direct):
1 Se 0.5000 0.5000 0.5000  4 Au 2.96
2 Au 0.7500 0.7500 0.7500  4 Se 2.96, 4 Pb 2.96
3 Pb 0.0000 0.0000 0.0000  4 Au 2.96

Computed properties:
Mass density (g/cm³): 10.058
Magnetic moment (Bohr magnetons per cell): 0.0
SG: No. 216
Fermi-level density of states (states/eV/f.u.): 0.7
Energy (Ha/atom): -0.1317